No. 1
Ba2NaTlC | PBE-GGA | relaxed

Cell lengths 5.952, 5.952, 4.854 Å; angles 90.00, 90.00, 90.00 degrees
Atoms (fractional coordinates):
Ba1 0.000 0.500 0.000
Ba2 0.500 0.000 0.000
Na1 0.000 0.000 0.500
Tl1 0.500 0.500 0.500
C1 0.500 0.500 0.000

Calculated values
final energy: -14.7 eV/cell
space-group type: No. 123
energy of formation: 39 kJ per mole of atoms
total moment: 0.00 μB/atom



No. 2
BeV2FeH | PBE-GGA | relaxed

Cell lengths 3.698, 3.698, 3.494 Å; angles 90.00, 90.00, 90.00 degrees
Atoms (fractional coordinates):
Be1 0.000 0.000 0.000
V1 0.000 0.500 0.500
V2 0.500 0.000 0.500
Fe1 0.500 0.500 0.000
H1 0.500 0.500 0.500

Calculated values
final energy: -34.1 eV/cell
space-group type: No. 123
total moment: 0.00 μB/atom



No. 3
TbY2Al | PBE-GGA | relaxed

Cell lengths 5.348, 6.704, 6.089 Å; angles 90.00, 90.00, 90.00 degrees
Atoms (fractional coordinates):
Tb1 0.250 0.250 0.126
Tb2 0.750 0.750 0.874
Y1 0.250 0.005 0.662
Y2 0.250 0.495 0.662
Y3 0.750 0.505 0.338
Y4 0.750 0.995 0.338
Al1 0.250 0.750 0.167
Al2 0.750 0.250 0.833

Calculated values
final energy: -44.0 eV/cell
space-group type: No. 59
energy of formation: -16 kJ per mole of atoms
total moment: 0.00 μB/atom
excess energy over the best structure of this formula in the dataset: 3.11 kJ per mole of atoms



No. 4
TcTeRhN2 | PBE-GGA | relaxed

Cell lengths 3.794, 3.794, 6.455 Å; angles 90.00, 90.00, 90.00 degrees
Atoms (fractional coordinates):
Tc1 0.000 0.000 0.000
Te1 0.500 0.500 0.000
Rh1 0.500 0.500 0.500
N1 0.000 0.500 0.500
N2 0.500 0.000 0.500

Calculated values
final energy: -30.3 eV/cell
space-group type: No. 123
total moment: 0.60 μB/atom
energy relative to the elements, uncorrected: 1.439 eV/atom
excess energy over the best structure of this formula in the dataset: 67.47 kJ per mole of atoms



No. 5
AlCdAs2 | PBE-GGA | relaxed

Cell lengths 3.852, 5.340, 8.050 Å; angles 90.00, 90.00, 90.00 degrees
Atoms (fractional coordinates):
Al1 0.000 0.000 0.000
Al2 0.500 0.500 0.500
Cd1 0.000 0.000 0.500
Cd2 0.500 0.500 0.000
As1 0.000 0.500 0.286
As2 0.000 0.500 0.714
As3 0.500 0.000 0.214
As4 0.500 0.000 0.786

Calculated values
final energy: -26.6 eV/cell
space-group type: No. 71
energy of formation: 15 kJ per mole of atoms
total moment: 0.00 μB/atom
excess energy over the best structure of this formula in the dataset: 28.57 kJ per mole of atoms



No. 6
Tb2AgHg4 | PBE-GGA | relaxed

Cell lengths 7.870, 7.870, 7.870 Å; angles 38.75, 38.75, 38.75 degrees
Atoms (fractional coordinates):
Tb1 0.227 0.227 0.227
Tb2 0.773 0.773 0.773
Ag1 0.500 0.500 0.500
Hg1 0.083 0.083 0.083
Hg2 0.368 0.368 0.368
Hg3 0.632 0.632 0.632
Hg4 0.917 0.917 0.917

Calculated values
final energy: -15.3 eV/cell
space-group type: No. 166
energy of formation: -28 kJ per mole of atoms
total moment: 0.00 μB/atom
excess energy over the best structure of this formula in the dataset: 0.00 kJ per mole of atoms



Question: Number 3 is which compound?
Answer: TbY2Al



Question: What is the formula in the fourth record?
Answer: TcTeRhN2



Question: The highest final energy belongs to which entry?
Answer: Ba2NaTlC